[1]
Entry from the Alexandria database: an optimized crystal structure of CdHg2Ir (PBE).

Geometry as extended XYZ:
```
4
Lattice="-4.116 -2.903 -0.196 3.368 -1.864 -3.254 1.203 -1.861 2.311" Properties=species:S:1:pos:R:3 pbc="T T T"
Hg -0.374 -2.383 -1.725
Hg 0.000 0.000 0.000
Cd 2.285 -1.862 -0.472
Ir -1.456 -2.382 1.057
```

Values from the calculation:
Formation energy   1.47 eV/f.u.
Symmetry   Cmmm (65)
E   -2.2268 eV per atom

=====

[2]
Entry from the Alexandria database: an optimized crystal structure of PuPaF (PBE).

Geometry as extended XYZ:
```
6
Lattice="-1.108 -1.620 -3.127 3.133 -3.038 2.643 -5.210 -3.422 3.618" Properties=species:S:1:pos:R:3 pbc="T T T"
Pa 0.492 -5.038 0.255
Pu 0.117 -2.826 -0.757
Pa -3.678 -3.042 2.878
Pu -3.302 -5.254 3.891
F -1.719 -5.674 1.368
F -1.466 -2.406 1.766
```

Values from the calculation:
Symmetry   C2/m (12)
E   -9.6847 eV per atom

=====

[3]
Entry from the Alexandria database: an optimized crystal structure of Tb3CeHoTm (PBE).

Geometry as extended XYZ:
```
12
Lattice="-4.829 -0.519 2.847 4.454 -4.609 1.149 4.328 6.300 8.490" Properties=species:S:1:pos:R:3 pbc="T T T"
Tb 3.640 0.178 6.207
Tm 1.784 -0.099 3.007
Tb 3.802 3.399 7.068
Tm 2.170 1.271 9.479
Tb 5.518 2.911 9.890
Tb 0.152 -2.228 5.418
Ho 0.000 0.000 0.000
Tb -1.564 -1.739 2.597
Ce 3.003 -3.009 4.545
Tb 0.314 0.993 6.280
Ho 2.164 3.150 4.245
Ce 0.951 4.181 7.941
```

Values from the calculation:
Formation energy   0.94 eV/f.u.
Symmetry   Cmcm (63)
E   -4.6555 eV per atom